Run 1
Density functional theory data (PBE) for SnHRh3 after structural relaxation.

```
20
Lattice="-1.197 -6.764 -2.772 -3.828 -4.985 3.920 -6.808 -1.969 -2.154" Properties=species:S:1:pos:R:3 pbc="T T T"
Rh -2.174 -2.726 1.410
Rh -2.970 -6.800 -1.920
Rh -3.743 -4.133 -1.913
Rh -2.624 -5.266 0.369
Rh -3.293 -1.593 -0.872
Rh -5.360 -9.912 0.528
Rh -7.221 -8.029 -3.265
Rh -6.474 -3.805 -1.534
Rh -4.731 -3.465 0.601
Rh -1.186 -3.394 -1.104
Rh -4.613 -5.689 2.259
Rh -8.864 -6.918 0.914
Sn -3.992 -7.589 0.448
Sn -5.482 -6.081 -2.589
Sn -7.396 -8.574 -0.629
Sn -6.798 -5.191 0.757
H -4.883 -2.699 -1.203
H -3.393 -4.207 1.834
H -1.479 -1.715 -0.126
H -2.078 -5.097 -1.512
```

Run 2
Density functional theory data (PBE) for SnHRh3 after structural relaxation.

```
10
Lattice="5.682 0.002 0.008 -1.298 4.712 -0.004 -2.867 0.779 4.843" Properties=species:S:1:pos:R:3 pbc="T T T"
Rh 0.287 2.366 1.379
Rh 0.213 4.988 2.633
Rh 3.136 2.296 1.381
Rh -1.179 4.603 0.235
Rh -2.531 4.869 2.612
Rh -1.130 2.685 3.811
H -1.126 3.462 2.023
H 3.117 1.078 3.244
Sn 1.636 4.416 0.266
Sn 1.672 2.902 3.794
```

Order of stability, best first: run 2, run 1

Run 1
Density functional theory data (PBE) for SnHRh3 after structural relaxation.

```
10
Lattice="2.851 0.000 6.564 -1.425 2.469 6.564 -1.425 -2.469 6.564" Properties=species:S:1:pos:R:3 pbc="T T T"
Rh -1.415 -0.832 10.975
Rh -1.428 0.809 8.717
Rh 0.013 -1.641 8.717
Rh 1.415 0.832 8.717
Rh 1.428 -0.809 10.975
Rh -0.013 1.641 10.975
H 0.000 0.000 1.391
H 0.000 0.000 18.301
Sn 0.000 0.000 13.125
Sn 0.000 0.000 6.567
```

Run 2
Density functional theory data (PBE) for SnHRh3 after structural relaxation.

```
10
Lattice="-4.574 -3.131 0.890 0.872 -2.671 -4.893 2.293 -2.800 1.937" Properties=species:S:1:pos:R:3 pbc="T T T"
Rh 2.106 -4.615 -2.056
Rh -0.135 -6.112 -1.569
Rh 1.661 -3.229 0.474
Rh -0.564 -4.779 0.866
Rh -0.310 -3.236 -1.554
Rh -3.070 -3.490 1.348
H -1.893 -4.868 2.308
H -2.028 -6.599 -0.035
Sn -2.555 -4.768 -1.113
Sn -0.812 -1.945 0.905
```

Order of stability, best first: run 2, run 1

Run 1
Density functional theory data (PBE) for Sn2HRh after structural relaxation.

```
4
Lattice="0.000 3.217 3.217 3.217 0.000 3.217 3.217 3.217 0.000" Properties=species:S:1:pos:R:3 pbc="T T T"
H 0.000 0.000 0.000
Rh 3.217 3.217 3.217
Sn 4.826 4.826 4.826
Sn 1.609 1.609 1.609
```

Run 2
Density functional theory data (PBE) for Sn2HRh after structural relaxation.

```
8
Lattice="5.009 0.000 0.000 0.000 5.009 0.000 2.505 2.505 6.447" Properties=species:S:1:pos:R:3 pbc="T T T"
Rh 5.009 2.505 3.224
Rh 0.000 0.000 0.000
Sn 6.261 5.942 4.836
Sn 1.572 3.757 1.612
Sn 3.437 1.252 1.612
Sn 3.757 4.077 4.836
H 2.505 2.505 0.000
H 2.505 5.009 3.224
```

Order of stability, best first: run 1, run 2

Run 1
Density functional theory data (PBE) for SnHRh2 after structural relaxation.

```
4
Lattice="-0.508 1.502 -2.609 -3.005 -0.415 0.347 -0.351 5.022 2.960" Properties=species:S:1:pos:R:3 pbc="T T T"
Rh -0.273 3.898 2.297
Rh -0.079 1.124 0.662
H -1.757 0.544 -1.131
Sn -1.932 3.054 0.349
```

Run 2
Density functional theory data (PBE) for SnHRh2 after structural relaxation.

```
8
Lattice="-4.401 4.083 -1.251 -3.070 -1.776 5.003 -2.379 3.079 3.392" Properties=species:S:1:pos:R:3 pbc="T T T"
Rh -3.516 0.590 3.690
Rh -4.901 2.992 4.465
Rh -8.005 4.511 5.312
Rh -3.276 2.680 0.820
H -3.735 1.154 1.876
H -4.592 1.228 5.135
Sn -5.257 4.158 2.009
Sn 0.000 0.000 0.000
```

Order of stability, best first: run 2, run 1

Run 1
Density functional theory data (PBE) for SnHRh2 after structural relaxation.

```
8
Lattice="3.156 0.000 0.000 -1.578 5.502 0.000 0.000 0.000 6.213" Properties=species:S:1:pos:R:3 pbc="T T T"
Rh 1.578 1.567 3.137
Rh 0.000 3.935 0.031
Rh 1.578 1.567 6.182
Rh 0.000 3.935 3.076
Sn 1.578 5.470 4.659
Sn 0.000 0.031 1.553
H 1.578 2.483 4.659
H 0.000 3.018 1.553
```

Run 2
Density functional theory data (PBE) for SnHRh2 after structural relaxation.

```
4
Lattice="3.091 0.000 0.000 1.545 2.677 0.000 1.545 0.892 6.321" Properties=species:S:1:pos:R:3 pbc="T T T"
Sn 3.091 1.784 3.161
Rh 1.545 0.892 1.128
Rh 4.636 2.677 5.193
H 0.000 0.000 0.000
```

Order of stability, best first: run 1, run 2

Run 1
Density functional theory data (PBE) for SnH3Rh after structural relaxation.

```
20
Lattice="4.951 0.000 0.000 0.000 6.053 1.315 0.000 0.531 7.356" Properties=species:S:1:pos:R:3 pbc="T T T"
H 1.796 2.906 7.718
H 0.662 3.259 1.942
H 3.155 3.678 0.954
H 1.073 4.489 6.562
H 0.680 5.667 4.697
H 4.289 3.324 6.730
H 1.813 0.498 4.963
H 3.878 2.095 2.109
H 3.549 5.386 6.445
H 3.138 6.085 3.709
H 4.271 0.917 3.974
H 1.402 1.197 2.226
Rh 4.667 0.560 2.265
Rh 2.192 2.732 2.071
Rh 2.759 3.851 6.601
Rh 0.284 6.024 6.406
Sn 1.186 2.537 4.640
Sn 3.661 1.286 7.052
Sn 1.290 5.298 1.619
Sn 3.765 4.047 4.032
```

Run 2
Density functional theory data (PBE) for SnH3Rh after structural relaxation.

```
5
Lattice="3.846 0.000 0.000 0.000 3.846 0.000 0.000 0.000 3.846" Properties=species:S:1:pos:R:3 pbc="T T T"
H 0.000 0.000 1.923
H 0.000 1.923 0.000
H 1.923 0.000 0.000
Rh 1.923 1.923 1.923
Sn 0.000 0.000 0.000
```

Run 3
Density functional theory data (PBE) for SnH3Rh after structural relaxation.

```
5
Lattice="-2.917 2.010 1.073 -1.641 -3.063 1.276 1.581 0.530 3.305" Properties=species:S:1:pos:R:3 pbc="T T T"
H 0.790 0.265 1.652
H -1.458 1.005 0.537
H -0.820 -1.531 0.638
Rh 0.000 0.000 0.000
Sn -1.488 -0.261 2.827
```

Order of stability, best first: run 1, run 3, run 2

Run 1
Density functional theory data (PBE) for Sn3HRh after structural relaxation.

```
5
Lattice="-4.087 -2.364 1.954 0.109 -3.365 -3.843 3.065 -3.032 2.742" Properties=species:S:1:pos:R:3 pbc="T T T"
Sn 1.533 -1.516 1.371
Sn 0.055 -1.683 -1.922
Sn -2.043 -1.182 0.977
Rh 0.000 0.000 0.000
H -0.456 -4.381 0.426
```

Run 2
Density functional theory data (PBE) for Sn3HRh after structural relaxation.

```
5
Lattice="4.533 0.000 0.000 0.000 4.533 0.000 0.000 0.000 4.533" Properties=species:S:1:pos:R:3 pbc="T T T"
Rh 2.266 2.266 2.266
Sn 0.000 0.000 2.266
Sn 2.266 0.000 0.000
Sn 0.000 2.266 0.000
H 0.000 0.000 0.000
```

Order of stability, best first: run 2, run 1

Run 1
Density functional theory data (PBE) for Sr2HRh after structural relaxation.

```
4
Lattice="3.672 0.000 0.000 1.836 3.180 0.000 1.836 1.060 8.470" Properties=species:S:1:pos:R:3 pbc="T T T"
Rh 0.000 0.000 0.000
Sr 1.836 1.060 5.858
Sr 5.507 3.180 2.612
H 3.672 2.120 4.235
```

Run 2
Density functional theory data (PBE) for Sr2HRh after structural relaxation.

```
4
Lattice="-2.534 1.832 1.552 -2.368 -2.276 -1.181 0.838 -4.079 6.182" Properties=species:S:1:pos:R:3 pbc="T T T"
Rh -2.032 -2.262 3.277
H -2.451 -0.222 0.186
Sr 0.626 -3.045 4.616
Sr 0.212 -1.034 1.567
```

Order of stability, best first: run 2, run 1

Run 1
Density functional theory data (PBE) for SrH8Rh2 after structural relaxation.

```
11
Lattice="3.616 0.000 -1.155 -0.636 4.440 -1.990 -0.164 -0.169 5.724" Properties=species:S:1:pos:R:3 pbc="T T T"
H -0.397 2.165 1.876
H 1.357 3.146 -1.988
H 1.622 1.294 -1.158
H 0.010 2.727 0.031
H 2.806 1.544 2.548
H 1.405 2.106 1.281
H 3.525 -0.073 1.680
H 1.099 4.343 0.322
Sr 0.000 0.000 0.000
Rh 1.888 2.836 -0.325
Rh 0.928 1.435 2.904
```

Run 2
Density functional theory data (PBE) for SrH8Rh2 after structural relaxation.

```
11
Lattice="-2.283 2.899 1.105 -1.647 -2.796 3.924 4.097 2.912 0.816" Properties=species:S:1:pos:R:3 pbc="T T T"
Rh 0.229 -0.932 2.909
Rh 2.221 1.047 1.831
H 0.603 3.853 4.535
H 1.299 0.885 0.371
H 1.141 2.558 2.350
H -0.525 2.272 3.202
H 0.692 0.743 2.643
H -1.132 2.130 5.474
H -0.435 -0.839 1.309
H -0.974 0.456 3.495
Sr -1.142 1.450 0.552
```

Order of stability, best first: run 2, run 1

Run 1
Density functional theory data (PBE) for SrHRh3 after structural relaxation.

```
5
Lattice="5.135 0.000 0.000 0.000 5.135 0.000 0.000 0.000 5.135" Properties=species:S:1:pos:R:3 pbc="T T T"
Sr 0.000 0.000 0.000
Rh 2.568 0.000 0.000
Rh 0.000 2.568 0.000
Rh 0.000 0.000 2.568
H 2.568 2.568 2.568
```

Run 2
Density functional theory data (PBE) for SrHRh3 after structural relaxation.

```
5
Lattice="-1.960 0.590 -3.635 2.355 -2.965 -1.751 -2.831 -2.875 1.060" Properties=species:S:1:pos:R:3 pbc="T T T"
Rh -0.980 0.295 -1.818
Rh 1.178 -1.482 -0.875
Rh -1.415 -1.437 0.530
Sr -1.218 -2.625 -2.163
H 0.000 0.000 0.000
```

Order of stability, best first: run 2, run 1

Run 1
Density functional theory data (PBE) for Sr2H2Rh after structural relaxation.

```
5
Lattice="3.727 0.000 0.000 0.000 3.727 0.000 1.863 1.863 6.949" Properties=species:S:1:pos:R:3 pbc="T T T"
Rh 0.000 0.000 0.000
Sr 3.727 3.727 4.987
Sr 1.863 1.863 1.962
H 1.863 3.727 3.474
H 3.727 1.863 3.474
```

Run 2
Density functional theory data (PBE) for Sr2H2Rh after structural relaxation.

```
10
Lattice="7.255 0.000 0.000 0.000 7.255 0.000 0.000 0.000 3.324" Properties=species:S:1:pos:R:3 pbc="T T T"
H 4.519 0.892 0.000
H 2.736 6.363 0.000
H 6.363 4.519 0.000
H 0.892 2.736 0.000
Rh 3.628 3.628 0.000
Rh 0.000 0.000 0.000
Sr 4.940 5.943 1.662
Sr 1.312 4.940 1.662
Sr 5.943 2.315 1.662
Sr 2.315 1.312 1.662
```

Order of stability, best first: run 1, run 2